# 1
Material: Pm4NdY5
Method: DFT, PBE
State: relaxed

Structure (POSCAR):
```
Pm4NdY5
1.0
3.624 0.000 0.000
0.000 3.624 0.000
0.000 0.000 25.383
Y Pm Nd
5 4 1
Direct
0.500 0.500 0.700
0.500 0.500 0.500
0.500 0.500 0.101
0.500 0.500 0.300
0.500 0.500 0.899
0.000 0.000 0.800
0.000 0.000 0.400
0.000 0.000 0.600
0.000 0.000 0.200
0.000 0.000 0.000
```

Calculated values
formation energy from the elements	0.015	eV per atom
volume	333.3	Å³/f.u.
space group	P4/mmm (123)

# 2
Material: Pm5Nd2Y4
Method: DFT, PBE
State: relaxed

Structure (POSCAR):
```
Pm5Nd2Y4
1.0
6.489 0.003 1.767
2.309 6.064 1.767
-0.101 -0.070 9.454
Y Nd Pm
4 2 5
Direct
0.666 0.666 0.882
0.305 0.305 0.498
0.695 0.695 0.502
0.334 0.334 0.118
0.855 0.855 0.123
0.145 0.145 0.877
0.000 0.000 0.500
0.653 0.215 0.766
0.785 0.347 0.234
0.347 0.785 0.234
0.215 0.653 0.766
```

Calculated values
formation energy from the elements	0.123	eV per atom
volume	373.6	Å³/f.u.
space group	C2/m (12)

# 3
Material: Pm3NdY
Method: DFT, PBE
State: relaxed

Structure (POSCAR):
```
Pm3NdY
1.0
-0.547 -3.564 -0.516
9.674 -1.927 3.050
-0.178 0.498 9.606
Nd Pm Y
2 6 2
Direct
0.400 0.551 0.799
0.600 0.449 0.201
0.799 0.349 0.599
0.399 0.050 0.798
0.000 0.249 0.001
0.201 0.651 0.401
0.601 0.950 0.202
0.000 0.751 0.999
0.800 0.852 0.599
0.200 0.148 0.401
```

Calculated values
formation energy from the elements	0.013	eV per atom
volume	170.9	Å³/f.u.
space group	C2/m (12)

# 4
Material: Pm4NdY4
Method: DFT, PBE
State: relaxed

Structure (POSCAR):
```
Pm4NdY4
1.0
7.928 -5.281 1.006
-5.827 10.253 2.160
1.528 2.389 13.681
Y Nd Pm
8 2 8
Direct
0.588 0.336 0.916
0.140 0.558 0.693
0.693 0.776 0.473
0.860 0.442 0.307
0.307 0.224 0.527
0.412 0.664 0.084
0.530 0.113 0.638
0.470 0.887 0.362
0.637 0.554 0.195
0.363 0.446 0.805
0.806 0.222 0.028
0.194 0.778 0.972
0.751 0.001 0.749
0.082 0.333 0.417
0.975 0.891 0.860
0.025 0.109 0.140
0.249 0.999 0.251
0.918 0.667 0.583
```

Calculated values
formation energy from the elements	0.015	eV per atom
volume	301.5	Å³/f.u.
space group	P-1 (2)

So what do the calculations give for total magnetization? Going down the list: 0.000, 0.000, 0.000, 0.000 μB per atom.